[1]
A relaxed structure of LaMg2Ag4. Source: OQMD via LeMat-Bulk, functional PBE.

## Properties
The electronic total energy is -3.06 eV/atom. As for the theoretical density: 7.007 g cm⁻³. Its total moment is 0.00 μB/f.u.

Cell lengths 7.2028, 7.2028, 5.6551 Å; angles 90.00, 90.00, 90.00 degrees
Closest atoms and distances in Å follow each position.
Space group I4/mmm (No. 139)
Asymmetric unit:
La 0.0000 0.0000 0.0000 [2 per cell]  12 Ag 3.11-3.45
Mg 0.0000 0.5000 0.2500 [4 per cell]  2 Mg 2.83, 8 Ag 2.97
Ag 0.1948 0.1948 0.5000 [8 per cell]  4 Ag 2.81-3.04, 4 Mg 2.97, 1 La 3.11

[2]
A relaxed structure of CoIr3. Source: OQMD via LeMat-Bulk, functional PBE.

## Properties
The formation energy comes out at 0.0518 eV/atom. The electronic total energy is -8.37 eV/atom. As for the theoretical density: 19.197 g cm⁻³. Its total moment is 2.42 μB/f.u.

Cell lengths 5.4208, 5.4208, 4.3209 Å; angles 90.00, 90.00, 120.00 degrees
Closest atoms and distances in Å follow each position.
Space group P6_3/mmc (No. 194)
Asymmetric unit:
Co 0.3333 0.6667 0.2500 [2 per cell]  12 Ir 2.65-2.71
Ir 0.1699 0.3398 0.7500 [6 per cell]  4 Co 2.65-2.71, 8 Ir 2.66-2.76

[3]
A relaxed structure of HoMgW. Source: OQMD via LeMat-Bulk, functional PBE.

## Properties
The electronic total energy is -4.83 eV/atom. As for the theoretical density: 7.709 g cm⁻³. Its total moment is 2.81 μB/f.u.

Cell lengths 6.8501, 6.8501, 6.8501 Å; angles 90.00, 90.00, 90.00 degrees
Closest atoms and distances in Å follow each position.
Space group F-43m (No. 216)
Asymmetric unit:
Ho 0.0000 0.0000 0.0000 [4 per cell]  4 W 2.97, 4 Mg 2.97
Mg 0.2500 0.2500 0.7500 [4 per cell]  4 Ho 2.97
W 0.2500 0.2500 0.2500 [4 per cell]  4 Ho 2.97

[4]
A relaxed structure of CsMgIrW. Source: OQMD via LeMat-Bulk, functional PBE.

## Properties
The electronic total energy is -4.21 eV/atom. As for the theoretical density: 11.180 g cm⁻³. Its total moment is 0.30 μB/f.u. For the energy above the most stable polymorph in this dataset, the calculation gives 436.0 meV per atom.

Cell lengths 6.8171, 6.8171, 6.8171 Å; angles 90.00, 90.00, 90.00 degrees
Closest atoms and distances in Å follow each position.
Space group F-43m (No. 216)
Asymmetric unit:
Cs 0.0000 0.0000 0.0000 [4 per cell]  4 Ir 2.95, 4 W 2.95
Mg 0.0000 0.0000 0.5000 [4 per cell]  4 W 2.95, 4 Ir 2.95
Ir 0.2500 0.2500 0.2500 [4 per cell]  4 Mg 2.95, 4 Cs 2.95
W 0.2500 0.2500 0.7500 [4 per cell]  4 Mg 2.95, 4 Cs 2.95

[5]
A relaxed structure of PmInGa. Source: OQMD via LeMat-Bulk, functional PBE.

## Properties
The electronic total energy is -3.56 eV/atom. As for the theoretical density: 6.100 g cm⁻³. Its total moment is 0.00 μB/f.u.

Cell lengths 7.1059, 7.1059, 7.1059 Å; angles 90.00, 90.00, 90.00 degrees
Closest atoms and distances in Å follow each position.
Space group F-43m (No. 216)
Asymmetric unit:
Pm 0.0000 0.0000 0.0000 [4 per cell]  4 In 3.08, 4 Ga 3.08
In 0.2500 0.2500 0.2500 [4 per cell]  4 Pm 3.08
Ga 0.2500 0.2500 0.7500 [4 per cell]  4 Pm 3.08

[6]
A relaxed structure of SrLa3Os. Source: OQMD via LeMat-Bulk, functional PBE.

## Properties
The electronic total energy is -5.62 eV/atom. As for the theoretical density: 6.054 g cm⁻³. Its total moment is 0.01 μB/f.u.

Cell lengths 5.7542, 5.7542, 5.7542 Å; angles 90.00, 90.00, 90.00 degrees
Closest atoms and distances in Å follow each position.
Space group Pm-3m (No. 221)
Asymmetric unit:
Sr 0.0000 0.0000 0.0000 [1 per cell]  12 La 4.07
La 0.0000 0.5000 0.5000 [3 per cell]  2 Os 2.88
Os 0.5000 0.5000 0.5000 [1 per cell]  6 La 2.88

[7]
A relaxed structure of Lu2Mg. Source: OQMD via LeMat-Bulk, functional PBE.

## Properties
The electronic total energy is -1.44 eV/atom. As for the theoretical density: 2.058 g cm⁻³. Its total moment is 0.01 μB/f.u. For the energy above the most stable polymorph in this dataset, the calculation gives 1805.0 meV per atom.

Cell lengths 13.4172, 13.4172, 13.4172 Å; angles 90.00, 90.00, 90.00 degrees
Closest atoms and distances in Å follow each position.
Space group Fd-3m (No. 227, origin choice 2)
Asymmetric unit:
Lu 0.0000 0.0000 0.0000 [16 per cell]  2 Mg 2.90
Mg 0.1250 0.1250 0.1250 [8 per cell]  4 Lu 2.90

[8]
A relaxed structure of InPd4C2S. Source: OQMD via LeMat-Bulk, functional PBE.

## Properties
The electronic total energy is -5.21 eV/atom. As for the theoretical density: 8.617 g cm⁻³.

Cell lengths 3.2818, 3.2818, 12.3262 Å; angles 90.00, 90.00, 120.00 degrees
Closest atoms and distances in Å follow each position.
Space group P-6m2 (No. 187)
Asymmetric unit:
In 0.0000 0.0000 0.0000 [1 per cell]  6 Pd 2.86
Pd 0.0000 0.0000 0.3538 [2 per cell]  3 C 2.18
Pd 0.6667 0.3333 0.1739 [2 per cell]  3 C 2.22
C 0.3333 0.6667 0.2671 [2 per cell]  6 Pd 2.18-2.22
S 0.6667 0.3333 0.5000 [1 per cell]  6 Pd 2.62